(1)
DFT (GGA-PBE) results for Ni2Br after structural relaxation.

Results
The value obtained for the density is 7.074 Mg/m³. As for the space group: Fm-3m. The calculated volume comes out at 15.4 A^3/atom. For the total energy, the calculation gives -3.67 eV per atom. Its energy relative to the lowest polymorph listed for this composition is 722 meV/atom.

Cell lengths 4.031, 4.031, 4.031 Å; angles 60.00, 60.00, 60.00 degrees
Last column: magnetic moment on the atom in μB.
Fractional positions:
Br: 0.000 0.000 0.000  0.06
Ni: 0.750 0.750 0.750  0.45
Ni: 0.250 0.250 0.250  0.45

---

(2)
DFT (GGA-PBE) results for NiBr5 after structural relaxation.

Results
The value obtained for the density is 3.677 Mg/m³. As for the space group: Cm. The calculated volume comes out at 34.5 A^3/atom. For the total energy, the calculation gives -2.35 eV per atom. Its energy relative to the lowest polymorph listed for this composition is 0 meV/atom.

Cell lengths 6.951, 6.951, 9.821 Å; angles 63.62, 63.62, 29.41 degrees
Last column: magnetic moment on the atom in μB.
Fractional positions:
Ni: 0.292 0.292 0.500  0.24
Br: 0.986 0.986 0.999  0.00
Br: 0.320 0.320 0.000  0.00
Br: 0.653 0.653 0.001  0.00
Br: 0.676 0.676 0.500  0.01
Br: 0.907 0.907 0.500  0.01

---

(3)
DFT (GGA-PBE) results for Ni2Br after structural relaxation.

Results
The value obtained for the density is 7.550 Mg/m³. As for the space group: P-62m. The calculated volume comes out at 14.5 A^3/atom. For the total energy, the calculation gives -3.78 eV per atom. Its energy relative to the lowest polymorph listed for this composition is 606 meV/atom.

Cell lengths 6.856, 6.856, 3.198 Å; angles 90.00, 90.00, 120.00 degrees
Fractional positions:
Ni: 0.316 0.000 0.000
Ni: 0.000 0.316 0.000
Ni: 0.684 0.684 0.000
Ni: 0.656 0.000 0.500
Ni: 0.000 0.656 0.500
Ni: 0.344 0.344 0.500
Br: 0.333 0.667 0.000
Br: 0.667 0.333 0.000
Br: 0.000 0.000 0.500

---

(4)
DFT (GGA-PBE) results for NiBr5 after structural relaxation.

Results
The value obtained for the density is 3.688 Mg/m³. As for the space group: Amm2. The calculated volume comes out at 34.4 A^3/atom. For the total energy, the calculation gives -2.35 eV per atom. Its energy relative to the lowest polymorph listed for this composition is 0 meV/atom.

Cell lengths 6.946, 6.946, 8.705 Å; angles 90.00, 90.00, 150.58 degrees
Last column: magnetic moment on the atom in μB.
Fractional positions:
Ni: 0.119 0.881 0.500  0.25
Br: 0.992 0.008 0.000  0.00
Br: 0.325 0.675 0.000  0.00
Br: 0.659 0.341 0.000  0.00
Br: 0.504 0.496 0.500  0.01
Br: 0.734 0.266 0.500  0.01